A plane-wave DFT calculation with GGA+U was carried out for Na2PuMoO6 after structural relaxation.

Geometry as POSCAR:
```
Na2PuMoO6
1.0
4.2391 0.0000 0.0000
0.0000 5.7895 0.0000
0.0000 0.0000 5.7895
O Na Mo Pu
6 2 1 1
Cartesian
2.9113 1.5347 1.5347 O
2.9113 1.5347 4.2548 O
0.7632 2.8947 2.8947 O
2.9113 4.2548 1.5347 O
2.9113 4.2548 4.2548 O
0.6767 0.0000 0.0000 O
0.2135 0.0000 2.8947 Na
0.2135 2.8947 0.0000 Na
2.5489 2.8947 2.8947 Mo
2.7894 0.0000 0.0000 Pu
```

Output
Final energy, hartree per atom: -0.275
Spin magnetization, μB/cell: 4.00